1.
Density functional theory data (PBE-GGA) for a relaxed structure of La2Nd3Sn4.

Values from the calculation:
energy relative to the elements: -0.794 eV per atom
total moment: 0.00 μB/f.u.
space-group type: P2_1/c
energy above the most stable polymorph in this dataset: 0.00 eV/f.u.

Cell: 8.574 8.615 8.269 Å, 90.00 109.68 90.00°
Element x y z (fractional)
La (0.194, 0.180, 0.068)
La (0.194, 0.320, 0.568)
La (0.806, 0.680, 0.432)
La (0.806, 0.820, 0.932)
Nd (0.247, 0.672, 0.244)
Nd (0.247, 0.828, 0.744)
Nd (0.500, 0.000, 0.500)
Nd (0.500, 0.500, 0.000)
Nd (0.753, 0.172, 0.256)
Nd (0.753, 0.328, 0.756)
Sn (0.081, 0.536, 0.846)
Sn (0.081, 0.964, 0.346)
Sn (0.487, 0.132, 0.867)
Sn (0.487, 0.368, 0.367)
Sn (0.513, 0.632, 0.633)
Sn (0.513, 0.868, 0.133)
Sn (0.919, 0.036, 0.654)
Sn (0.919, 0.464, 0.154)

***

2.
Density functional theory data (PBE-GGA) for a relaxed structure of LaNd3Sn.

Values from the calculation:
energy relative to the elements: -0.217 eV per atom
total moment: 0.00 μB/f.u.
space-group type: Pmmn
energy above the most stable polymorph in this dataset: 0.00 eV/f.u.

Cell: 3.673 6.734 13.875 Å, 90.00 90.00 90.00°
Element x y z (fractional)
La (0.250, 0.250, 0.012)
La (0.750, 0.750, 0.988)
Nd (0.250, 0.250, 0.427)
Nd (0.250, 0.501, 0.778)
Nd (0.250, 0.999, 0.778)
Nd (0.750, 0.001, 0.222)
Nd (0.750, 0.499, 0.222)
Nd (0.750, 0.750, 0.573)
Sn (0.250, 0.750, 0.380)
Sn (0.750, 0.250, 0.620)

***

3.
Density functional theory data (PBE-GGA) for a relaxed structure of La5NdSn2.

Values from the calculation:
energy relative to the elements: -0.484 eV per atom
total moment: 0.00 μB/f.u.
space-group type: Pbam
energy above the most stable polymorph in this dataset: 0.00 eV/f.u.

Cell: 7.108 14.211 5.006 Å, 90.00 90.00 90.00°
Element x y z (fractional)
La (0.000, 0.000, 0.000)
La (0.006, 0.251, 0.000)
La (0.247, 0.875, 0.500)
La (0.253, 0.375, 0.500)
La (0.494, 0.751, 0.000)
La (0.500, 0.500, 0.000)
La (0.506, 0.249, 0.000)
La (0.747, 0.625, 0.500)
La (0.753, 0.125, 0.500)
La (0.994, 0.749, 0.000)
Nd (0.000, 0.500, 0.000)
Nd (0.500, 0.000, 0.000)
Sn (0.245, 0.624, 0.500)
Sn (0.255, 0.124, 0.500)
Sn (0.745, 0.876, 0.500)
Sn (0.755, 0.376, 0.500)

***

4.
Density functional theory data (PBE-GGA) for a relaxed structure of La5Nd4Sn4.

Values from the calculation:
energy relative to the elements: -0.543 eV per atom
total moment: 0.00 μB/f.u.
space-group type: I4/m

Cell: 9.723 9.723 9.723 Å, 93.61 93.61 150.95°
Element x y z (fractional)
La (0.000, 0.000, 0.000)
La (0.296, 0.613, 0.909)
La (0.387, 0.296, 0.684)
La (0.613, 0.704, 0.316)
La (0.704, 0.387, 0.091)
Nd (0.097, 0.401, 0.498)
Nd (0.401, 0.903, 0.304)
Nd (0.599, 0.097, 0.696)
Nd (0.903, 0.599, 0.502)
Sn (0.085, 0.766, 0.852)
Sn (0.234, 0.085, 0.319)
Sn (0.766, 0.915, 0.681)
Sn (0.915, 0.234, 0.148)

***

5.
Density functional theory data (PBE-GGA) for a relaxed structure of La5NdSn2.

Values from the calculation:
energy relative to the elements: -0.375 eV per atom
total moment: 0.00 μB/f.u.
space-group type: Cmcm
energy above the most stable polymorph in this dataset: 0.87 eV/f.u.

Cell: 6.550 6.550 20.041 Å, 90.00 90.00 140.86°
Element x y z (fractional)
La (0.038, 0.962, 0.615)
La (0.038, 0.962, 0.885)
La (0.359, 0.641, 0.523)
La (0.359, 0.641, 0.977)
La (0.413, 0.587, 0.250)
La (0.587, 0.413, 0.750)
La (0.641, 0.359, 0.023)
La (0.641, 0.359, 0.477)
La (0.962, 0.038, 0.115)
La (0.962, 0.038, 0.385)
Nd (0.313, 0.687, 0.750)
Nd (0.687, 0.313, 0.250)
Sn (0.245, 0.755, 0.130)
Sn (0.245, 0.755, 0.370)
Sn (0.755, 0.245, 0.630)
Sn (0.755, 0.245, 0.870)

***

6.
Density functional theory data (PBE-GGA) for a relaxed structure of LaNd2Sn.

Values from the calculation:
energy relative to the elements: -0.195 eV per atom
total moment: 0.00 μB/f.u.
space-group type: R3m
energy above the most stable polymorph in this dataset: 1.08 eV/f.u.

Cell: 11.489 11.489 11.489 Å, 18.51 18.51 18.51°
Element x y z (fractional)
La (0.000, 0.000, 0.000)
Nd (0.577, 0.577, 0.577)
Nd (0.757, 0.757, 0.757)
Sn (0.166, 0.166, 0.166)

***

7.
Density functional theory data (PBE-GGA) for a relaxed structure of LaNd2Sn2.

Values from the calculation:
energy relative to the elements: -0.460 eV per atom
total moment: 0.00 μB/f.u.
space-group type: P2_1/m
energy above the most stable polymorph in this dataset: 0.00 eV/f.u.

Cell: 5.912 4.179 13.369 Å, 90.00 96.29 90.00°
Element x y z (fractional)
La (0.201, 0.250, 0.252)
La (0.799, 0.750, 0.748)
Nd (0.243, 0.750, 0.465)
Nd (0.339, 0.250, 0.890)
Nd (0.661, 0.750, 0.110)
Nd (0.757, 0.250, 0.535)
Sn (0.156, 0.750, 0.049)
Sn (0.284, 0.250, 0.655)
Sn (0.716, 0.750, 0.345)
Sn (0.844, 0.250, 0.951)

***

8.
Density functional theory data (PBE-GGA) for a relaxed structure of La2NdSn2.

Values from the calculation:
energy relative to the elements: -0.721 eV per atom
total moment: 0.00 μB/f.u.
space-group type: P4/mbm

Cell: 8.410 8.410 4.641 Å, 90.00 90.00 90.00°
Element x y z (fractional)
La (0.171, 0.329, 0.000)
La (0.329, 0.829, 0.000)
La (0.671, 0.171, 0.000)
La (0.829, 0.671, 0.000)
Nd (0.000, 0.000, 0.500)
Nd (0.500, 0.500, 0.500)
Sn (0.128, 0.628, 0.500)
Sn (0.372, 0.128, 0.500)
Sn (0.628, 0.872, 0.500)
Sn (0.872, 0.372, 0.500)

***

9.
Density functional theory data (PBE-GGA) for a relaxed structure of La12NdSn3.

Values from the calculation:
energy relative to the elements: -0.353 eV per atom
total moment: 0.00 μB/f.u.
space-group type: P4/mmm

Cell: 5.067 5.067 20.555 Å, 90.00 90.00 90.00°
Element x y z (fractional)
La (0.000, 0.000, 0.000)
La (0.000, 0.000, 0.243)
La (0.000, 0.000, 0.500)
La (0.000, 0.000, 0.757)
La (0.000, 0.500, 0.121)
La (0.000, 0.500, 0.367)
La (0.000, 0.500, 0.633)
La (0.000, 0.500, 0.879)
La (0.500, 0.000, 0.121)
La (0.500, 0.000, 0.367)
La (0.500, 0.000, 0.633)
La (0.500, 0.000, 0.879)
Nd (0.500, 0.500, 0.500)
Sn (0.500, 0.500, 0.000)
Sn (0.500, 0.500, 0.244)
Sn (0.500, 0.500, 0.756)

***

10.
Density functional theory data (PBE-GGA) for a relaxed structure of LaNd14Sn.

Values from the calculation:
energy relative to the elements: -0.067 eV per atom
total moment: 0.00 μB/f.u.
space-group type: Amm2

Cell: 10.252 7.298 7.298 Å, 90.00 90.00 90.00°
Element x y z (fractional)
La (0.000, 0.000, 0.000)
Nd (0.000, 0.000, 0.500)
Nd (0.000, 0.500, 0.000)
Nd (0.243, 0.257, 0.743)
Nd (0.243, 0.743, 0.257)
Nd (0.243, 0.743, 0.743)
Nd (0.244, 0.256, 0.256)
Nd (0.500, 0.000, 0.500)
Nd (0.500, 0.500, 0.000)
Nd (0.500, 0.500, 0.500)
Nd (0.500, 0.999, 0.999)
Nd (0.756, 0.256, 0.256)
Nd (0.757, 0.257, 0.743)
Nd (0.757, 0.743, 0.257)
Nd (0.757, 0.743, 0.743)
Sn (0.000, 0.500, 0.500)

***

11.
Density functional theory data (PBE-GGA) for a relaxed structure of LaNd4Sn4.

Values from the calculation:
energy relative to the elements: -0.473 eV per atom
total moment: 0.00 μB/f.u.
space-group type: P4_2/n

Cell: 10.093 10.093 6.365 Å, 90.00 90.00 90.00°
Element x y z (fractional)
La (0.250, 0.250, 0.250)
La (0.750, 0.750, 0.750)
Nd (0.084, 0.653, 0.136)
Nd (0.153, 0.916, 0.636)
Nd (0.347, 0.584, 0.636)
Nd (0.416, 0.847, 0.136)
Nd (0.584, 0.153, 0.864)
Nd (0.653, 0.416, 0.364)
Nd (0.847, 0.084, 0.364)
Nd (0.916, 0.347, 0.864)
Sn (0.031, 0.618, 0.640)
Sn (0.118, 0.969, 0.140)
Sn (0.382, 0.531, 0.140)
Sn (0.469, 0.882, 0.640)
Sn (0.531, 0.118, 0.360)
Sn (0.618, 0.469, 0.860)
Sn (0.882, 0.031, 0.860)
Sn (0.969, 0.382, 0.360)

***

12.
Density functional theory data (PBE-GGA) for a relaxed structure of La6NdSn2.

Values from the calculation:
energy relative to the elements: -0.131 eV per atom
total moment: 0.00 μB/f.u.
space-group type: C2/m

Cell: 7.710 7.710 5.739 Å, 90.12 90.12 59.74°
Element x y z (fractional)
La (0.115, 0.692, 0.764)
La (0.307, 0.307, 0.238)
La (0.308, 0.885, 0.236)
La (0.692, 0.115, 0.764)
La (0.693, 0.693, 0.762)
La (0.885, 0.308, 0.236)
Nd (0.500, 0.500, 0.500)
Sn (0.166, 0.166, 0.733)
Sn (0.834, 0.834, 0.267)

***

13.
Density functional theory data (PBE-GGA) for a relaxed structure of La2NdSn9.

Values from the calculation:
energy relative to the elements: -0.551 eV per atom
total moment: 0.00 μB/f.u.
space-group type: P4/mmm

Cell: 4.806 4.806 14.335 Å, 90.00 90.00 90.00°
Element x y z (fractional)
La (0.000, 0.000, 0.168)
La (0.000, 0.000, 0.832)
Nd (0.000, 0.000, 0.500)
Sn (0.000, 0.500, 0.000)
Sn (0.000, 0.500, 0.335)
Sn (0.000, 0.500, 0.665)
Sn (0.500, 0.000, 0.000)
Sn (0.500, 0.000, 0.335)
Sn (0.500, 0.000, 0.665)
Sn (0.500, 0.500, 0.167)
Sn (0.500, 0.500, 0.500)
Sn (0.500, 0.500, 0.833)

***

14.
Density functional theory data (PBE-GGA) for a relaxed structure of LaNd2Sn.

Values from the calculation:
energy relative to the elements: -0.464 eV per atom
total moment: 0.00 μB/f.u.
space-group type: P4/mmm
energy above the most stable polymorph in this dataset: 0.00 eV/f.u.

Cell: 5.016 5.016 4.902 Å, 90.00 90.00 90.00°
Element x y z (fractional)
La (0.000, 0.000, 0.000)
Nd (0.000, 0.500, 0.500)
Nd (0.500, 0.000, 0.500)
Sn (0.500, 0.500, 0.000)

***

15.
Density functional theory data (PBE-GGA) for a relaxed structure of La8NdSn2.

Values from the calculation:
energy relative to the elements: -0.246 eV per atom
total moment: 0.00 μB/f.u.
space-group type: C2/m

Cell: 9.604 9.604 6.352 Å, 98.06 98.06 41.77°
Element x y z (fractional)
La (0.084, 0.084, 0.007)
La (0.156, 0.640, 0.461)
La (0.288, 0.288, 0.857)
La (0.360, 0.844, 0.539)
La (0.640, 0.156, 0.461)
La (0.712, 0.712, 0.143)
La (0.844, 0.360, 0.539)
La (0.916, 0.916, 0.993)
Nd (0.500, 0.500, 0.000)
Sn (0.237, 0.237, 0.330)
Sn (0.763, 0.763, 0.670)

***

16.
Density functional theory data (PBE-GGA) for a relaxed structure of La6Nd8Sn.

Values from the calculation:
energy relative to the elements: -0.046 eV per atom
total moment: 0.00 μB/f.u.
space-group type: R-3

Cell: 8.870 8.870 8.870 Å, 62.85 62.85 62.85°
Element x y z (fractional)
La (0.048, 0.739, 0.587)
La (0.261, 0.413, 0.952)
La (0.413, 0.952, 0.261)
La (0.587, 0.048, 0.739)
La (0.739, 0.587, 0.048)
La (0.952, 0.261, 0.413)
Nd (0.078, 0.078, 0.078)
Nd (0.202, 0.275, 0.611)
Nd (0.275, 0.611, 0.202)
Nd (0.389, 0.798, 0.725)
Nd (0.611, 0.202, 0.275)
Nd (0.725, 0.389, 0.798)
Nd (0.798, 0.725, 0.389)
Nd (0.922, 0.922, 0.922)
Sn (0.500, 0.500, 0.500)

***

17.
Density functional theory data (PBE-GGA) for a relaxed structure of La14NdSn.

Values from the calculation:
energy relative to the elements: -0.101 eV per atom
total moment: 0.00 μB/f.u.
space-group type: Amm2

Cell: 10.415 7.335 7.335 Å, 89.99 90.00 90.00°
Element x y z (fractional)
La (0.000, 0.000, 0.000)
La (0.000, 0.498, 0.498)
La (0.000, 0.500, 0.999)
La (0.000, 0.999, 0.500)
La (0.258, 0.240, 0.240)
La (0.258, 0.240, 0.759)
La (0.258, 0.759, 0.240)
La (0.258, 0.759, 0.759)
La (0.500, 0.000, 0.500)
La (0.500, 0.500, 0.000)
La (0.742, 0.240, 0.240)
La (0.742, 0.240, 0.759)
La (0.742, 0.759, 0.240)
La (0.742, 0.759, 0.759)
Nd (0.500, 0.500, 0.500)
Sn (0.500, 0.000, 0.000)

***

18.
Density functional theory data (PBE-GGA) for a relaxed structure of LaNd2Sn9.

Values from the calculation:
energy relative to the elements: -0.524 eV per atom
total moment: 0.00 μB/f.u.
space-group type: P4/mmm

Cell: 4.814 4.814 14.197 Å, 90.00 90.00 90.00°
Element x y z (fractional)
La (0.000, 0.000, 0.000)
Nd (0.000, 0.000, 0.334)
Nd (0.000, 0.000, 0.666)
Sn (0.000, 0.500, 0.168)
Sn (0.000, 0.500, 0.500)
Sn (0.000, 0.500, 0.832)
Sn (0.500, 0.000, 0.168)
Sn (0.500, 0.000, 0.500)
Sn (0.500, 0.000, 0.832)
Sn (0.500, 0.500, 0.000)
Sn (0.500, 0.500, 0.334)
Sn (0.500, 0.500, 0.666)

***

19.
Density functional theory data (PBE-GGA) for a relaxed structure of LaNd3Sn.

Values from the calculation:
energy relative to the elements: -0.176 eV per atom
total moment: 0.00 μB/f.u.
space-group type: C2/m
energy above the most stable polymorph in this dataset: 0.20 eV/f.u.

Cell: 6.816 6.816 11.124 Å, 109.23 109.23 44.93°
Element x y z (fractional)
La (0.125, 0.125, 0.111)
La (0.875, 0.875, 0.889)
Nd (0.016, 0.016, 0.361)
Nd (0.289, 0.289, 0.663)
Nd (0.408, 0.408, 0.112)
Nd (0.592, 0.592, 0.888)
Nd (0.711, 0.711, 0.337)
Nd (0.984, 0.984, 0.639)
Sn (0.365, 0.365, 0.403)
Sn (0.635, 0.635, 0.597)

***

20.
Density functional theory data (PBE-GGA) for a relaxed structure of La4Nd3Sn.

Values from the calculation:
energy relative to the elements: -0.183 eV per atom
total moment: 0.00 μB/f.u.
space-group type: Pmn2_1

Cell: 10.138 7.221 7.274 Å, 90.00 90.00 90.00°
Element x y z (fractional)
La (0.000, 0.001, 0.000)
La (0.000, 0.498, 0.503)
La (0.250, 0.242, 0.751)
La (0.250, 0.758, 0.251)
La (0.500, 0.502, 0.003)
La (0.500, 0.999, 0.500)
La (0.750, 0.242, 0.751)
La (0.750, 0.758, 0.251)
Nd (0.000, 0.500, 0.001)
Nd (0.250, 0.225, 0.251)
Nd (0.250, 0.775, 0.751)
Nd (0.500, 0.500, 0.501)
Nd (0.750, 0.225, 0.251)
Nd (0.750, 0.775, 0.751)
Sn (0.000, 0.999, 0.501)
Sn (0.500, 0.001, 0.001)